Below is a relaxed Li3CoAg crystal, with properties calculated at the PBE-GGA level.

abc: 4.549 4.549 4.549
angles: 90.00 90.00 90.00
Site moments in Bohr magnetons follow the coordinates.
Positions (direct):
Ag: 0.500 0.500 0.500  0.01
Co: 0.000 0.000 0.000  1.37
Li: 0.500 0.000 0.000  -0.01
Li: 0.000 0.500 0.000  -0.01
Li: 0.000 0.000 0.500  -0.01

Computed properties:
DOS at the Fermi energy in states/eV per cell: 3.9
E_form in meV/atom: 583
Magnetization in Bohr magnetons per cell: 1.08